(1)
Computed, not measured: a relaxed GdMgAsO crystal at the PBE level of DFT.

Computed properties:
Calculated density   5.55 g/cm3
Uncorrected energy   -47.123 eV for the cell shown
Symmetry   Pmc2_1 (26)
Calculated volume   20.390 Å³/atom

```
data_GdMgAsO
_cell_length_a 4.467
_cell_length_b 6.165
_cell_length_c 5.924
_cell_angle_alpha 90.00
_cell_angle_beta 90.00
_cell_angle_gamma 90.00
_space_group_name_H-M_alt 'P 1'
_space_group_IT_number 1
loop_
_space_group_symop_operation_xyz
'x,y,z'
loop_
_atom_site_label
_atom_site_type_symbol
_atom_site_fract_x
_atom_site_fract_y
_atom_site_fract_z
Gd1 Gd 0.000 0.229 0.000
Gd2 Gd 0.000 0.771 0.500
Mg1 Mg 0.500 0.396 0.638
Mg2 Mg 0.500 0.604 0.138
As1 As 0.000 0.241 0.494
As2 As 0.000 0.759 0.994
O1 O 0.500 0.324 0.969
O2 O 0.500 0.676 0.469
```

(2)
Computed, not measured: a relaxed GdMgAsO crystal at the PBE level of DFT.

Computed properties:
Calculated density   5.72 g/cm3
Uncorrected energy   -46.301 eV for the cell shown
Symmetry   Pmc2_1 (26)
Calculated volume   19.776 Å³/atom

```
data_GdMgAsO
_cell_length_a 3.884
_cell_length_b 5.982
_cell_length_c 6.809
_cell_angle_alpha 90.00
_cell_angle_beta 90.00
_cell_angle_gamma 90.00
_space_group_name_H-M_alt 'P 1'
_space_group_IT_number 1
loop_
_space_group_symop_operation_xyz
'x,y,z'
loop_
_atom_site_label
_atom_site_type_symbol
_atom_site_fract_x
_atom_site_fract_y
_atom_site_fract_z
Gd1 Gd 0.000 0.051 0.000
Gd2 Gd 0.000 0.949 0.500
Mg1 Mg 0.500 0.365 0.338
Mg2 Mg 0.500 0.635 0.838
As1 As 0.500 0.223 0.720
As2 As 0.500 0.777 0.220
O1 O 0.000 0.252 0.280
O2 O 0.000 0.748 0.780
```

(3)
Computed, not measured: a relaxed GdMoAs crystal at the PBE level of DFT.

Computed properties:
Calculated density   8.32 g/cm3
Uncorrected energy   -20.384 eV for the cell shown
Symmetry   F-43m (216)
Calculated volume   21.839 Å³/atom

```
data_GdMoAs
_cell_length_a 4.525
_cell_length_b 4.525
_cell_length_c 4.525
_cell_angle_alpha 60.00
_cell_angle_beta 60.00
_cell_angle_gamma 60.00
_space_group_name_H-M_alt 'P 1'
_space_group_IT_number 1
loop_
_space_group_symop_operation_xyz
'x,y,z'
loop_
_atom_site_label
_atom_site_type_symbol
_atom_site_fract_x
_atom_site_fract_y
_atom_site_fract_z
Gd1 Gd 0.000 0.000 0.000
Mo1 Mo 0.500 0.500 0.500
As1 As 0.250 0.250 0.250
```

(4)
Computed, not measured: a relaxed Gd3As2N crystal at the PBE level of DFT.

Computed properties:
Calculated density   8.15 g/cm3
Uncorrected energy   -39.972 eV for the cell shown
Symmetry   P-3m1 (164)
Calculated volume   21.591 Å³/atom

```
data_Gd3As2N
_cell_length_a 3.891
_cell_length_b 3.891
_cell_length_c 9.882
_cell_angle_alpha 90.00
_cell_angle_beta 90.00
_cell_angle_gamma 120.00
_space_group_name_H-M_alt 'P 1'
_space_group_IT_number 1
loop_
_space_group_symop_operation_xyz
'x,y,z'
loop_
_atom_site_label
_atom_site_type_symbol
_atom_site_fract_x
_atom_site_fract_y
_atom_site_fract_z
Gd1 Gd 0.000 0.000 0.000
Gd2 Gd 0.333 0.667 0.364
Gd3 Gd 0.667 0.333 0.636
As1 As 0.333 0.667 0.820
As2 As 0.667 0.333 0.180
N1 N 0.000 0.000 0.500
```

(5)
Computed, not measured: a relaxed GdAsN3 crystal at the PBE level of DFT.

Computed properties:
Calculated density   8.28 g/cm3
Uncorrected energy   -68.277 eV for the cell shown
Symmetry   R-3c (167)
Calculated volume   11.001 Å³/atom

```
data_GdAsN3
_cell_length_a 5.306
_cell_length_b 5.306
_cell_length_c 5.306
_cell_angle_alpha 61.87
_cell_angle_beta 61.87
_cell_angle_gamma 61.87
_space_group_name_H-M_alt 'P 1'
_space_group_IT_number 1
loop_
_space_group_symop_operation_xyz
'x,y,z'
loop_
_atom_site_label
_atom_site_type_symbol
_atom_site_fract_x
_atom_site_fract_y
_atom_site_fract_z
Gd1 Gd 0.250 0.250 0.250
Gd2 Gd 0.750 0.750 0.750
As1 As 0.000 0.000 0.000
As2 As 0.500 0.500 0.500
N1 N 0.179 0.750 0.321
N2 N 0.250 0.679 0.821
N3 N 0.321 0.179 0.750
N4 N 0.679 0.821 0.250
N5 N 0.750 0.321 0.179
N6 N 0.821 0.250 0.679
```

(6)
Computed, not measured: a relaxed GdAsN2O crystal at the PBE level of DFT.

Computed properties:
Calculated density   8.35 g/cm3
Uncorrected energy   -34.249 eV for the cell shown
Symmetry   P4/mmm (123)
Calculated volume   10.981 Å³/atom

```
data_GdAsN2O
_cell_length_a 3.787
_cell_length_b 3.787
_cell_length_c 3.828
_cell_angle_alpha 90.00
_cell_angle_beta 90.00
_cell_angle_gamma 90.00
_space_group_name_H-M_alt 'P 1'
_space_group_IT_number 1
loop_
_space_group_symop_operation_xyz
'x,y,z'
loop_
_atom_site_label
_atom_site_type_symbol
_atom_site_fract_x
_atom_site_fract_y
_atom_site_fract_z
Gd1 Gd 0.000 0.000 0.000
As1 As 0.500 0.500 0.500
N1 N 0.000 0.500 0.500
N2 N 0.500 0.000 0.500
O1 O 0.500 0.500 0.000
```

(7)
Computed, not measured: a relaxed GdAsN2O crystal at the PBE level of DFT.

Computed properties:
Calculated density   8.23 g/cm3
Uncorrected energy   -69.829 eV for the cell shown
Symmetry   C2/m (12)
Calculated volume   11.150 Å³/atom

```
data_GdAsN2O
_cell_length_a 5.336
_cell_length_b 5.336
_cell_length_c 5.371
_cell_angle_alpha 118.93
_cell_angle_beta 118.93
_cell_angle_gamma 90.03
_space_group_name_H-M_alt 'P 1'
_space_group_IT_number 1
loop_
_space_group_symop_operation_xyz
'x,y,z'
loop_
_atom_site_label
_atom_site_type_symbol
_atom_site_fract_x
_atom_site_fract_y
_atom_site_fract_z
Gd1 Gd 0.238 0.238 0.484
Gd2 Gd 0.762 0.762 0.516
As1 As 0.000 0.500 0.000
As2 As 0.500 0.000 0.000
N1 N 0.198 0.802 0.000
N2 N 0.335 0.335 0.084
N3 N 0.665 0.665 0.916
N4 N 0.802 0.198 0.000
O1 O 0.198 0.802 0.500
O2 O 0.802 0.198 0.500
```

(8)
Computed, not measured: a relaxed GdAsN2O crystal at the PBE level of DFT.

Computed properties:
Calculated density   6.85 g/cm3
Uncorrected energy   -208.169 eV for the cell shown
Symmetry   P6_3cm (185)
Calculated volume   13.392 Å³/atom

```
data_GdAsN2O
_cell_length_a 6.408
_cell_length_b 6.408
_cell_length_c 11.299
_cell_angle_alpha 90.00
_cell_angle_beta 90.00
_cell_angle_gamma 120.00
_space_group_name_H-M_alt 'P 1'
_space_group_IT_number 1
loop_
_space_group_symop_operation_xyz
'x,y,z'
loop_
_atom_site_label
_atom_site_type_symbol
_atom_site_fract_x
_atom_site_fract_y
_atom_site_fract_z
Gd1 Gd 0.000 0.000 0.000
Gd2 Gd 0.000 0.000 0.500
Gd3 Gd 0.333 0.667 0.469
Gd4 Gd 0.333 0.667 0.969
Gd5 Gd 0.667 0.333 0.469
Gd6 Gd 0.667 0.333 0.969
As1 As 0.000 0.334 0.232
As2 As 0.000 0.666 0.732
As3 As 0.334 0.000 0.232
As4 As 0.334 0.334 0.732
As5 As 0.666 0.000 0.732
As6 As 0.666 0.666 0.232
N1 N 0.000 0.314 0.386
N2 N 0.000 0.353 0.079
N3 N 0.000 0.647 0.579
N4 N 0.000 0.686 0.886
N5 N 0.314 0.000 0.386
N6 N 0.314 0.314 0.886
N7 N 0.353 0.000 0.079
N8 N 0.353 0.353 0.579
N9 N 0.647 0.000 0.579
N10 N 0.647 0.647 0.079
N11 N 0.686 0.000 0.886
N12 N 0.686 0.686 0.386
O1 O 0.000 0.000 0.212
O2 O 0.000 0.000 0.712
O3 O 0.333 0.667 0.248
O4 O 0.333 0.667 0.748
O5 O 0.667 0.333 0.248
O6 O 0.667 0.333 0.748
```

(9)
Computed, not measured: a relaxed GdAsNO crystal at the PBE level of DFT.

Computed properties:
Distance to the lowest polymorph of the same formula   276.9 meV/atom
Calculated density   6.07 g/cm3
Uncorrected energy   -54.861 eV for the cell shown
Symmetry   Pmc2_1 (26)
Calculated volume   17.924 Å³/atom

```
data_GdAsNO
_cell_length_a 3.993
_cell_length_b 6.049
_cell_length_c 5.936
_cell_angle_alpha 90.00
_cell_angle_beta 90.00
_cell_angle_gamma 90.00
_space_group_name_H-M_alt 'P 1'
_space_group_IT_number 1
loop_
_space_group_symop_operation_xyz
'x,y,z'
loop_
_atom_site_label
_atom_site_type_symbol
_atom_site_fract_x
_atom_site_fract_y
_atom_site_fract_z
Gd1 Gd 0.000 0.205 0.000
Gd2 Gd 0.000 0.795 0.500
As1 As 0.500 0.335 0.609
As2 As 0.500 0.665 0.109
N1 N 0.500 0.413 0.928
N2 N 0.500 0.587 0.428
O1 O 0.000 0.102 0.334
O2 O 0.000 0.898 0.834
```

(10)
Computed, not measured: a relaxed GdAsN2O crystal at the PBE level of DFT.

Computed properties:
Calculated density   8.18 g/cm3
Uncorrected energy   -204.692 eV for the cell shown
Symmetry   P6_3/mmc (194)
Calculated volume   11.211 Å³/atom

```
data_GdAsN2O
_cell_length_a 5.374
_cell_length_b 5.374
_cell_length_c 13.445
_cell_angle_alpha 90.00
_cell_angle_beta 90.00
_cell_angle_gamma 120.00
_space_group_name_H-M_alt 'P 1'
_space_group_IT_number 1
loop_
_space_group_symop_operation_xyz
'x,y,z'
loop_
_atom_site_label
_atom_site_type_symbol
_atom_site_fract_x
_atom_site_fract_y
_atom_site_fract_z
Gd1 Gd 0.000 0.000 0.250
Gd2 Gd 0.000 0.000 0.750
Gd3 Gd 0.333 0.667 0.073
Gd4 Gd 0.333 0.667 0.427
Gd5 Gd 0.667 0.333 0.573
Gd6 Gd 0.667 0.333 0.927
As1 As 0.000 0.000 0.000
As2 As 0.000 0.000 0.500
As3 As 0.333 0.667 0.650
As4 As 0.333 0.667 0.850
As5 As 0.667 0.333 0.150
As6 As 0.667 0.333 0.350
N1 N 0.164 0.328 0.584
N2 N 0.164 0.328 0.916
N3 N 0.164 0.836 0.584
N4 N 0.164 0.836 0.916
N5 N 0.328 0.164 0.084
N6 N 0.328 0.164 0.416
N7 N 0.672 0.836 0.584
N8 N 0.672 0.836 0.916
N9 N 0.836 0.164 0.084
N10 N 0.836 0.164 0.416
N11 N 0.836 0.672 0.084
N12 N 0.836 0.672 0.416
O1 O 0.021 0.510 0.750
O2 O 0.490 0.510 0.750
O3 O 0.490 0.979 0.750
O4 O 0.510 0.021 0.250
O5 O 0.510 0.490 0.250
O6 O 0.979 0.490 0.250
```

(11)
Computed, not measured: a relaxed GdAsN2O crystal at the PBE level of DFT.

Computed properties:
Calculated density   7.61 g/cm3
Uncorrected energy   -70.799 eV for the cell shown
Symmetry   Pmc2_1 (26)
Calculated volume   12.057 Å³/atom

```
data_GdAsN2O
_cell_length_a 3.430
_cell_length_b 6.136
_cell_length_c 5.728
_cell_angle_alpha 90.00
_cell_angle_beta 90.00
_cell_angle_gamma 90.00
_space_group_name_H-M_alt 'P 1'
_space_group_IT_number 1
loop_
_space_group_symop_operation_xyz
'x,y,z'
loop_
_atom_site_label
_atom_site_type_symbol
_atom_site_fract_x
_atom_site_fract_y
_atom_site_fract_z
Gd1 Gd 0.000 0.154 0.000
Gd2 Gd 0.000 0.846 0.500
As1 As 0.500 0.335 0.535
As2 As 0.500 0.665 0.035
N1 N 0.000 0.217 0.593
N2 N 0.000 0.783 0.093
N3 N 0.500 0.414 0.879
N4 N 0.500 0.586 0.379
O1 O 0.500 0.101 0.290
O2 O 0.500 0.899 0.790
```

(12)
Computed, not measured: a relaxed GdAsN2O crystal at the PBE level of DFT.

Computed properties:
Calculated density   7.69 g/cm3
Uncorrected energy   -286.594 eV for the cell shown
Symmetry   P2_1/c (14)
Calculated volume   11.935 Å³/atom

```
data_GdAsN2O
_cell_length_a 8.377
_cell_length_b 6.834
_cell_length_c 10.746
_cell_angle_alpha 90.00
_cell_angle_beta 129.11
_cell_angle_gamma 90.00
_space_group_name_H-M_alt 'P 1'
_space_group_IT_number 1
loop_
_space_group_symop_operation_xyz
'x,y,z'
loop_
_atom_site_label
_atom_site_type_symbol
_atom_site_fract_x
_atom_site_fract_y
_atom_site_fract_z
Gd1 Gd 0.148 0.003 0.200
Gd2 Gd 0.148 0.497 0.700
Gd3 Gd 0.149 0.002 0.699
Gd4 Gd 0.149 0.498 0.199
Gd5 Gd 0.851 0.502 0.801
Gd6 Gd 0.851 0.998 0.301
Gd7 Gd 0.852 0.503 0.300
Gd8 Gd 0.852 0.997 0.800
As1 As 0.299 0.750 0.009
As2 As 0.299 0.750 0.509
As3 As 0.380 0.250 0.085
As4 As 0.380 0.250 0.585
As5 As 0.620 0.750 0.415
As6 As 0.620 0.750 0.915
As7 As 0.701 0.250 0.491
As8 As 0.701 0.250 0.991
N1 N 0.227 0.033 0.480
N2 N 0.227 0.467 0.980
N3 N 0.229 0.033 0.977
N4 N 0.229 0.467 0.477
N5 N 0.382 0.748 0.878
N6 N 0.382 0.752 0.378
N7 N 0.429 0.250 0.280
N8 N 0.429 0.250 0.780
N9 N 0.571 0.750 0.220
N10 N 0.571 0.750 0.720
N11 N 0.618 0.248 0.622
N12 N 0.618 0.252 0.122
N13 N 0.771 0.533 0.523
N14 N 0.771 0.967 0.023
N15 N 0.773 0.533 0.020
N16 N 0.773 0.967 0.520
O1 O 0.037 0.749 0.787
O2 O 0.037 0.751 0.287
O3 O 0.079 0.748 0.535
O4 O 0.079 0.752 0.035
O5 O 0.921 0.248 0.965
O6 O 0.921 0.252 0.465
O7 O 0.963 0.249 0.713
O8 O 0.963 0.251 0.213
```